# 1
First-principles (GGA-PBE) data for a relaxed structure of PmNd2B9, as listed in the Alexandria database.

Results
- Space group: R-3m (166)
- Total energy: -6.31 eV/atom

Lattice parameters (Å, degrees): 4.4826 4.4826 10.1310 77.22 77.22 60.00
With the nearest neighbours (Å) after each atom.
Element x y z (fractional)
Pm: 0.0000 0.0000 0.0000  18 B 2.89-3.22
Nd: 0.8827 0.8827 0.3518  12 B 2.81-3.01
Nd: 0.1173 0.1173 0.6482  12 B 2.81-3.01
B: 0.6018 0.6018 0.1947  3 B 1.65
B: 0.3982 0.3982 0.8053  3 B 1.65
B: 0.5000 0.5000 0.5000  6 Nd 2.97, 2 B 2.99
B: 0.3932 0.3932 0.1834  3 B 1.63-1.65
B: 0.0303 0.3932 0.1834  3 B 1.63-1.65
B: 0.3932 0.0303 0.1834  3 B 1.63-1.65
B: 0.6068 0.6068 0.8166  3 B 1.63-1.65
B: 0.6068 0.9697 0.8166  3 B 1.63-1.65
B: 0.9697 0.6068 0.8166  3 B 1.63-1.65



# 2
First-principles (GGA-PBE) data for a relaxed structure of Sm4Er2Cd, as listed in the Alexandria database.

Results
- Space group: C2/m (12)
- Total energy: -4.10 eV/atom

Lattice parameters (Å, degrees): 3.5243 8.5657 8.4891 116.73 101.98 90.00
With the nearest neighbours (Å) after each atom.
Element x y z (fractional)
Sm: 0.9174 0.2959 0.8347  5 Sm 3.31-3.59, 3 Er 3.35-3.44, 1 Cd 3.39
Sm: 0.0826 0.7041 0.1653  5 Sm 3.31-3.59, 3 Er 3.35-3.44, 1 Cd 3.39
Sm: 0.6320 0.3927 0.2640  8 Sm 3.52-3.90, 2 Cd 3.53, 3 Er 3.56-3.62
Sm: 0.3680 0.6073 0.7360  8 Sm 3.52-3.90, 2 Cd 3.53, 3 Er 3.56-3.62
Er: 0.7827 0.8608 0.5655  1 Cd 3.24, 6 Sm 3.35-3.62, 4 Er 3.52
Er: 0.2173 0.1392 0.4345  1 Cd 3.24, 6 Sm 3.35-3.62, 4 Er 3.52
Cd: 0.0000 0.0000 0.0000  2 Er 3.24, 6 Sm 3.39-3.53, 2 Cd 3.52



# 3
First-principles (GGA-PBE) data for a relaxed structure of Fe3CuAu, as listed in the Alexandria database.

Results
- Space group: Pm-3m (221)
- Total energy: -5.50 eV/atom
- E above lowest polymorph: 0 meV/atom

Lattice parameters (Å, degrees): 4.3608 4.3608 4.3608 90.00 90.00 90.00
With the nearest neighbours (Å) after each atom.
Element x y z (fractional)
Au: 0.5000 0.5000 0.5000  12 Fe 3.08
Fe: 0.0000 0.5000 0.0000  2 Cu 2.18
Fe: 0.0000 0.0000 0.5000  2 Cu 2.18
Fe: 0.5000 0.0000 0.0000  2 Cu 2.18
Cu: 0.0000 0.0000 0.0000  6 Fe 2.18



# 4
First-principles (GGA-PBE) data for a relaxed structure of Sm3HoC, as listed in the Alexandria database.

Results
- Space group: Pm-3m (221)
- Total energy: -5.53 eV/atom

Lattice parameters (Å, degrees): 5.1642 5.1642 5.1642 90.00 90.00 90.00
With the nearest neighbours (Å) after each atom.
Element x y z (fractional)
C: 0.0000 0.0000 0.0000  6 Sm 2.58
Ho: 0.5000 0.5000 0.5000  12 Sm 3.65
Sm: 0.0000 0.5000 0.0000  2 C 2.58
Sm: 0.0000 0.0000 0.5000  2 C 2.58
Sm: 0.5000 0.0000 0.0000  2 C 2.58



# 5
First-principles (GGA-PBE) data for a relaxed structure of ZnFe4Se, as listed in the Alexandria database.

Results
- Raw formation energy: 1.97 eV/f.u.
- Space group: F-43m (216)
- Total energy: -6.11 eV/atom

Lattice parameters (Å, degrees): 4.8932 4.8932 4.8932 60.00 60.00 60.00
With the nearest neighbours (Å) after each atom.
Element x y z (fractional)
Zn: 0.0000 0.0000 0.0000  12 Fe 2.87, 4 Se 3.00
Fe: 0.6263 0.6263 0.1210  6 Fe 2.42-2.47
Fe: 0.6263 0.1210 0.6263  6 Fe 2.42-2.47
Fe: 0.6263 0.6263 0.6263  6 Fe 2.42-2.47
Fe: 0.1210 0.6263 0.6263  6 Fe 2.42-2.47
Se: 0.2500 0.2500 0.2500  12 Fe 2.87, 4 Zn 3.00



# 6
First-principles (GGA-PBE) data for a relaxed structure of Ti7NiIr2, as listed in the Alexandria database.

Results
- Space group: Fm-3m (225)
- Total energy: -7.25 eV/atom

Lattice parameters (Å, degrees): 6.2603 6.2603 6.2603 60.00 60.00 60.00
With the nearest neighbours (Å) after each atom.
Element x y z (fractional)
Ti: 0.5000 0.5000 0.5000  6 Ti 2.23
Ti: 0.2482 0.7518 0.7518  1 Ni 2.20, 1 Ti 2.23
Ti: 0.2482 0.7518 0.2482  1 Ni 2.20, 1 Ti 2.23
Ti: 0.7518 0.2482 0.7518  1 Ni 2.20, 1 Ti 2.23
Ti: 0.7518 0.7518 0.2482  1 Ni 2.20, 1 Ti 2.23
Ti: 0.2482 0.2482 0.7518  1 Ni 2.20, 1 Ti 2.23
Ti: 0.7518 0.2482 0.2482  1 Ni 2.20, 1 Ti 2.23
Ni: 0.0000 0.0000 0.0000  6 Ti 2.20
Ir: 0.2500 0.2500 0.2500  12 Ti 3.13
Ir: 0.7500 0.7500 0.7500  12 Ti 3.13



Among the records above, which one has the lowest total energy? Ti7NiIr2